[1]
Computed, not measured: YIn3Br after structural relaxation at the GGA-PBE level of DFT.

The calculation puts the spin magnetization at 2.5 μB per formula unit. For the total energy, the calculation gives -14.36 eV/cell. The uncorrected formation energy comes out at 0.3994 eV per atom.

Cell lengths 6.1182, 6.1182, 6.1182 Å; angles 90.00, 90.00, 90.00 degrees
Closest atoms and distances in Å follow each position.
Space group Pm-3m (No. 221)
Asymmetric unit:
1 Y 0.0000 0.0000 0.0000 [1 per cell]  6 In 3.06
2 In 0.0000 0.0000 0.5000 [3 per cell]  2 Y 3.06
3 Br 0.5000 0.5000 0.5000 [1 per cell]  12 In 4.33

***

[2]
Computed, not measured: PuTlF after structural relaxation at the GGA-PBE level of DFT.

The calculation puts the spin magnetization at 6.0 μB per formula unit. For the total energy, the calculation gives -137.34 eV/cell. The uncorrected formation energy comes out at -1.4400 eV per atom.

Cell lengths 3.9644, 3.9644, 31.8361 Å; angles 90.00, 90.00, 120.00 degrees
Closest atoms and distances in Å follow each position.
Space group R-3m (No. 166, hexagonal axes)
Asymmetric unit:
1 Pu 0.0000 0.0000 0.1105 [6 per cell]  4 F 2.48-2.61
2 Tl 0.0000 0.0000 0.3675 [6 per cell]  3 Tl 3.16, 3 Pu 3.34
3 F 0.0000 0.0000 0.1925 [6 per cell]  4 Pu 2.48-2.61

***

[3]
Computed, not measured: Tl4InIr after structural relaxation at the GGA-PBE level of DFT.

The energy of formation comes out at 743 meV per atom. The calculation puts the spin magnetization at 0.0 μB per formula unit. For the total energy, the calculation gives -66.43 eV/cell.

Cell lengths 8.7198, 8.7198, 8.7198 Å; angles 90.00, 90.00, 90.00 degrees
Closest atoms and distances in Å follow each position.
Space group F-43m (No. 216)
Asymmetric unit:
1 Tl 0.1243 0.1243 0.3757 [16 per cell]  6 Tl 3.06-3.10
2 In 0.0000 0.0000 0.0000 [4 per cell]  12 Tl 3.62, 4 Ir 3.78
3 Ir 0.2500 0.2500 0.7500 [4 per cell]  12 Tl 3.61, 4 In 3.78

***

Among the records above, which one has the highest spin magnetization? PuTlF

***

Look up the spin magnetization of the third one. 0.0 μB per formula unit

***

Please write out number 3 again, unchanged.
Computed, not measured: Tl4InIr after structural relaxation at the GGA-PBE level of DFT.

The energy of formation comes out at 743 meV per atom. The calculation puts the spin magnetization at 0.0 μB per formula unit. For the total energy, the calculation gives -66.43 eV/cell.

Cell lengths 8.7198, 8.7198, 8.7198 Å; angles 90.00, 90.00, 90.00 degrees
Closest atoms and distances in Å follow each position.
Space group F-43m (No. 216)
Asymmetric unit:
1 Tl 0.1243 0.1243 0.3757 [16 per cell]  6 Tl 3.06-3.10
2 In 0.0000 0.0000 0.0000 [4 per cell]  12 Tl 3.62, 4 Ir 3.78
3 Ir 0.2500 0.2500 0.7500 [4 per cell]  12 Tl 3.61, 4 In 3.78

***

What is the spin magnetization in the second record? 6.0 μB per formula unit